# 1
Density functional theory data (PBE) for a relaxed structure of BaCa2Cl.

Magnetic moment ... 0.00 μB per formula unit
Density of states at the Fermi level ... 0.8574 states/eV/atom
Energy relative to the lowest polymorph listed for this composition ... 0.071 eV/atom

Cell: 3.810 3.810 10.535 Å, 90.00 90.00 90.00°
Element x y z (fractional)
Ca  0.000  0.000  0.018
Ca  0.500  0.500  0.288
Ba  0.500  0.500  0.706
Cl  0.000  0.000  0.488

# 2
Density functional theory data (PBE) for a relaxed structure of Th2NbIn.

Magnetic moment ... 0.00 μB per formula unit
Density of states at the Fermi level ... 1.3752 states/eV/atom
Energy relative to the lowest polymorph listed for this composition ... 0.000 eV/atom

Cell: 4.474 4.860 4.860 Å, 90.00 90.00 90.00°
Element x y z (fractional)
In  0.500  0.000  0.000
Nb  0.500  0.500  0.500
Th  0.000  0.000  0.500
Th  0.000  0.500  0.000

# 3
Density functional theory data (PBE) for a relaxed structure of TaIrPd3.

Magnetic moment ... 0.00 μB per formula unit
Density of states at the Fermi level ... 2.2244 states/eV/atom
DFT total energy ... -0.208 hartree per atom

Cell: 4.740 4.740 4.740 Å, 90.00 90.00 90.00°
Element x y z (fractional)
Ta  0.500  0.500  0.500
Pd  0.000  0.500  0.000
Pd  0.000  0.000  0.500
Pd  0.500  0.000  0.000
Ir  0.000  0.000  0.000

# 4
Density functional theory data (PBE) for a relaxed structure of ScIrPb2.

Magnetic moment ... 0.00 μB per formula unit
Density of states at the Fermi level ... 0.5714 states/eV/atom
Energy relative to the lowest polymorph listed for this composition ... 0.265 eV/atom

Cell: 4.603 4.603 5.488 Å, 65.08 65.08 60.17°
Element x y z (fractional)
Pb  0.489  0.489  0.533
Pb  0.011  0.011  0.967
Ir  0.750  0.750  0.750
Sc  0.250  0.250  0.250

# 5
Density functional theory data (PBE) for a relaxed structure of RbCdPt.

Magnetic moment ... 0.00 μB per formula unit
Density of states at the Fermi level ... 0.3104 states/eV/atom
Energy relative to the lowest polymorph listed for this composition ... 0.107 eV/atom

Cell: 5.185 4.653 4.653 Å, 120.00 90.00 90.00°
Element x y z (fractional)
Cd  0.167  0.000  0.000
Rb  0.667  0.333  0.667
Pt  0.167  0.667  0.333

# 6
Density functional theory data (PBE) for a relaxed structure of Na2ZrCu2S4.

Magnetic moment ... 0.00 μB per formula unit
Density of states at the Fermi level ... 0.0806 states/eV/atom
DFT total energy ... -0.184 hartree per atom

Cell: 3.742 7.097 7.123 Å, 111.17 105.21 90.01°
Element x y z (fractional)
Na  0.138  0.561  0.275
Na  0.862  0.439  0.725
Cu  0.679  0.989  0.357
Cu  0.321  0.011  0.643
S  0.796  0.799  0.592
S  0.511  0.752  0.022
S  0.204  0.201  0.408
S  0.489  0.248  0.978
Zr  0.000  0.000  0.000

# 7
Density functional theory data (PBE) for a relaxed structure of Ba5Be4.

Magnetic moment ... 0.00 μB per formula unit
Density of states at the Fermi level ... 0.8232 states/eV/atom
Energy relative to the lowest polymorph listed for this composition ... 0.137 eV/atom

Cell: 7.648 7.648 7.648 Å, 99.61 99.61 131.77°
Element x y z (fractional)
Ba  0.314  0.686  0.000
Ba  0.000  0.000  0.000
Ba  0.686  0.314  0.000
Ba  0.314  0.314  0.627
Ba  0.686  0.686  0.373
Be  0.000  0.609  0.609
Be  0.000  0.391  0.391
Be  0.609  0.000  0.609
Be  0.391  0.000  0.391

# 8
Density functional theory data (PBE) for a relaxed structure of MgMo2Os.

Magnetic moment ... 0.00 μB per formula unit
Density of states at the Fermi level ... 0.8561 states/eV/atom
DFT total energy ... -0.307 hartree per atom

Cell: 9.620 9.620 9.620 Å, 16.79 16.79 16.79°
Element x y z (fractional)
Mg  0.750  0.750  0.750
Os  0.250  0.250  0.250
Mo  0.995  0.995  0.995
Mo  0.505  0.505  0.505

# 9
Density functional theory data (PBE) for a relaxed structure of Tb3SbAs.

Magnetic moment ... 0.00 μB per formula unit
Density of states at the Fermi level ... 0.8429 states/eV/atom
DFT total energy ... -0.206 hartree per atom

Cell: 4.250 8.263 15.642 Å, 90.00 90.00 90.00°
Element x y z (fractional)
Tb  0.250  0.668  0.716
Tb  0.250  0.168  0.784
Tb  0.750  0.832  0.216
Tb  0.750  0.013  0.607
Tb  0.750  0.150  0.045
Tb  0.750  0.332  0.284
Tb  0.250  0.987  0.393
Tb  0.750  0.513  0.893
Tb  0.250  0.850  0.955
Tb  0.250  0.350  0.545
Tb  0.250  0.487  0.107
Tb  0.750  0.650  0.455
As  0.750  0.704  0.049
As  0.750  0.204  0.451
As  0.250  0.796  0.549
As  0.250  0.296  0.951
Sb  0.250  0.616  0.305
Sb  0.750  0.884  0.805
Sb  0.750  0.384  0.695
Sb  0.250  0.116  0.195

# 10
Density functional theory data (PBE) for a relaxed structure of IrAu2Cl.

Magnetic moment ... 0.00 μB per formula unit
Density of states at the Fermi level ... 0.7994 states/eV/atom
Energy relative to the lowest polymorph listed for this composition ... 0.000 eV/atom

Cell: 8.349 8.349 4.682 Å, 56.08 56.08 19.50°
Element x y z (fractional)
Au  0.910  0.910  0.932
Au  0.768  0.768  0.714
Ir  0.238  0.238  0.274
Cl  0.584  0.584  0.579

# 11
Density functional theory data (PBE) for a relaxed structure of Mn3VS6.

Magnetic moment ... 11.77 μB per formula unit
Density of states at the Fermi level ... 0.4725 states/eV/atom
Energy relative to the lowest polymorph listed for this composition ... 0.088 eV/atom

Cell: 6.025 6.359 9.020 Å, 90.00 93.56 90.00°
Site moments in Bohr magnetons follow the coordinates.
Element x y z (fractional)
S  0.807  0.691  0.915  -0.06
S  0.693  0.191  0.585  -0.06
S  0.649  0.448  0.253  -0.07
S  0.167  0.317  0.428  -0.06
S  0.833  0.683  0.572  -0.06
S  0.351  0.552  0.747  -0.07
S  0.307  0.809  0.415  -0.06
S  0.851  0.948  0.247  -0.07
S  0.149  0.052  0.753  -0.07
S  0.667  0.183  0.928  -0.06
S  0.333  0.817  0.072  -0.06
S  0.193  0.309  0.085  -0.06
Mn  0.015  0.378  0.661  3.35
Mn  0.985  0.622  0.339  3.35
Mn  0.500  0.500  0.000  2.93
Mn  0.000  0.000  0.500  2.93
Mn  0.515  0.122  0.161  3.35
Mn  0.485  0.878  0.839  3.35
V  0.500  0.500  0.500  1.69
V  0.000  0.000  0.000  1.69

# 12
Density functional theory data (PBE) for a relaxed structure of CaAc6Pr2.

Magnetic moment ... 0.01 μB per formula unit
Density of states at the Fermi level ... 1.7256 states/eV/atom
Energy relative to the lowest polymorph listed for this composition ... 0.000 eV/atom

Cell: 3.924 3.924 29.317 Å, 90.00 90.00 120.00°
Element x y z (fractional)
Ca  0.333  0.667  0.000
Ac  0.333  0.667  0.434
Ac  0.667  0.333  0.888
Ac  0.333  0.667  0.222
Ac  0.333  0.667  0.778
Ac  0.333  0.667  0.566
Ac  0.667  0.333  0.112
Pr  0.667  0.333  0.669
Pr  0.667  0.333  0.331